First-principles (PBE) data for a geometry-optimized Y4Cr2Bi structure, as listed in Alexandria.

Summary:
Formation enthalpy at 0 K: 637.0 meV/atom
DOS(E_F): 0.950 states/eV per atom
Energy: -6.36 eV/atom
Size of the total moment: 5.8 μB per formula unit

Cell lengths 5.781, 5.781, 8.072 Å; angles 69.02, 69.02, 90.00 degrees
Fractional coordinates of all 7 atoms:
Y  0.217  0.217  0.566
Y  0.783  0.783  0.434
Y  0.500  0.000  0.000
Y  0.000  0.500  0.000
Cr  0.413  0.413  0.173
Cr  0.587  0.587  0.827
Bi  0.000  0.000  0.000

First-principles (PBE) data for a geometry-optimized Zr5Ir structure, as listed in Alexandria.

Summary:
Formation enthalpy at 0 K: 680.0 meV/atom
Relative energy among the computed polymorphs: 0.9688 eV/atom
DOS(E_F): 1.246 states/eV per atom
Energy: -7.92 eV/atom
Size of the total moment: 0.0 μB per formula unit

Cell lengths 5.496, 5.496, 5.228 Å; angles 90.00, 90.00, 120.00 degrees
Fractional coordinates of all 6 atoms:
Zr  0.500  0.000  0.500
Zr  0.000  0.500  0.500
Zr  0.667  0.333  0.000
Zr  0.500  0.500  0.500
Zr  0.333  0.667  0.000
Ir  0.000  0.000  0.000

First-principles (PBE) data for a geometry-optimized AlReW structure, as listed in Alexandria.

Summary:
Formation enthalpy at 0 K: -52.8 meV/atom
Relative energy among the computed polymorphs: 0.1012 eV/atom
DOS(E_F): 0.588 states/eV per atom
Energy: -9.77 eV/atom
Size of the total moment: 0.0 μB per formula unit

Cell lengths 4.383, 4.383, 2.740 Å; angles 90.00, 90.00, 120.00 degrees
Fractional coordinates of all 3 atoms:
Re  0.333  0.667  0.347
Al  0.000  0.000  0.028
W  0.667  0.333  0.626